VASP calculation (PBE-GGA) on an optimized crystal structure of In2As2Br.

The value obtained for the uncorrected energy is -3.5421 eV/atom. The density is 5.970 Mg/m³. Its raw formation energy is -0.2524 eV per atom. The calculation puts the calculated volume at 25.56 Å³/atom. The total magnetization comes out at 0.00 Bohr magnetons per cell. As for the excess energy over the best structure of this formula in the dataset: 0.0000 eV per atom.

Lattice parameters (Å, degrees): 5.277 5.277 9.178 90.00 90.00 90.00
Space group I4/mmm (No. 139)
Symmetry-distinct sites (fractional):
In (0.000, 0.500, 0.250)
As (0.000, 0.000, 0.134)
Br (0.000, 0.000, 0.500)

=====

VASP calculation (PBE-GGA) on an optimized crystal structure of InAs2Br.

The value obtained for the uncorrected energy is -3.2916 eV/atom. The density is 5.101 Mg/m³. Its raw formation energy is 0.1360 eV per atom. The calculation puts the calculated volume at 28.04 Å³/atom. The total magnetization comes out at 0.00 Bohr magnetons per cell. As for the excess energy over the best structure of this formula in the dataset: 0.3689 eV per atom.

Lattice parameters (Å, degrees): 2.771 6.004 6.741 90.00 90.00 90.00
Space group Pmmm (No. 47)
Symmetry-distinct sites (fractional):
In (0.000, 0.000, 0.000)
As (0.500, 0.500, 0.178)
Br (0.000, 0.000, 0.500)

=====

VASP calculation (PBE-GGA) on an optimized crystal structure of InAs2Br.

The value obtained for the uncorrected energy is -3.1552 eV/atom. The density is 6.228 Mg/m³. Its raw formation energy is 0.2724 eV per atom. The calculation puts the calculated volume at 22.97 Å³/atom. The total magnetization comes out at 0.00 Bohr magnetons per cell. As for the excess energy over the best structure of this formula in the dataset: 0.5052 eV per atom.

Lattice parameters (Å, degrees): 3.331 5.211 5.292 90.00 90.00 90.00
Space group Pmmm (No. 47)
Symmetry-distinct sites (fractional):
In (0.000, 0.000, 0.000)
As (0.000, 0.500, 0.500)
As (0.500, 0.000, 0.500)
Br (0.500, 0.500, 0.000)

=====

> The lowest excess energy over the best structure of this formula in the dataset belongs to which entry?

In2As2Br

=====

> uncorrected energy of number 2 (InAs2Br)?

-3.2916 eV/atom

=====

> Look up the total magnetization of the second one.

0.00 Bohr magnetons per cell